1.
A geometry-optimized SrCaSb2I structure. Source: the Alexandria database, functional PBE.

## Properties
**Crystal system**: tetragonal
**Formation energy from raw total energies**: -0.086 eV per atom
**Calculated density**: 3.71 g/cm³
**Symmetry**: P4/mmm (123)

Unit cell a=6.027 b=6.027 c=6.140 alpha=90.00 beta=90.00 gamma=90.00
Atoms (fractional coordinates):
Sr1 0.000 0.000 0.000
I1 0.000 0.000 0.500
Ca1 0.500 0.500 0.500
Sb1 0.500 0.000 0.000
Sb2 0.000 0.500 0.000

2.
A geometry-optimized NaCr2P2 structure. Source: the Alexandria database, functional PBE.

## Properties
**Formation enthalpy at 0 K**: -101 meV/atom
**Crystal system**: tetragonal
**Calculated density**: 4.57 g/cm³
**Symmetry**: P4/mbm (127)

Unit cell a=6.906 b=6.906 c=2.880 alpha=90.00 beta=90.00 gamma=90.00
Atoms (fractional coordinates):
Cr1 0.862 0.362 0.500
P1 0.644 0.144 0.000
Cr2 0.138 0.638 0.500
Na1 0.500 0.500 0.000
P2 0.144 0.356 0.000
P3 0.356 0.856 0.000
Cr3 0.362 0.138 0.500
Cr4 0.638 0.862 0.500
Na2 0.000 0.000 0.000
P4 0.856 0.644 0.000

3.
A geometry-optimized NbBiMo2N structure. Source: the Alexandria database, functional PBE.

## Properties
**Crystal system**: tetragonal
**Formation energy from raw total energies**: 0.054 eV per atom
**Calculated density**: 10.70 g/cm³
**Symmetry**: P4/mmm (123)

Unit cell a=4.271 b=4.321 c=4.271 alpha=90.00 beta=90.00 gamma=90.00
Atoms (fractional coordinates):
Bi1 0.500 0.500 0.500
Nb1 0.000 0.500 0.000
Mo1 0.000 0.000 0.500
N1 0.000 0.000 0.000
Mo2 0.500 0.000 0.000

4.
A geometry-optimized U2TcPt structure. Source: the Alexandria database, functional PBE.

## Properties
**Formation enthalpy at 0 K**: -191 meV/atom
**Crystal system**: tetragonal
**Calculated density**: 17.07 g/cm³
**Symmetry**: P4/mmm (123)

Unit cell a=4.162 b=4.241 c=4.241 alpha=90.00 beta=90.00 gamma=90.00
Atoms (fractional coordinates):
Pt1 0.500 0.000 0.000
U1 0.000 0.500 0.000
U2 0.000 0.000 0.500
Tc1 0.500 0.500 0.500